Record 1
First-principles (PBE) data for a geometry-optimized Ce12SnPb3 structure, as listed in the Alexandria database. Values from VASP.

Calculated values
E_tot in eV per cell: -91.207
D(E_F) in states/eV/f.u.: 49.6
Formation energy from the elements in eV per atom: -0.305
SG: No. 123

Quantum ESPRESSO input file:
```
&SYSTEM
  ibrav = 0, nat = 16, ntyp = 3
/
ATOMIC_SPECIES
Ce 140.12 Ce.upf
Sn 118.71 Sn.upf
Pb 207.20 Pb.upf
CELL_PARAMETERS angstrom
4.8313 0.0000 0.0000
0.0000 4.8313 0.0000
0.0000 0.0000 19.3190
ATOMIC_POSITIONS crystal
Ce 0.0000 0.0000 0.0000
Ce 0.0000 0.0000 0.2484
Ce 0.0000 0.0000 0.5000
Ce 0.0000 0.0000 0.7516
Ce 0.0000 0.5000 0.1222
Ce 0.0000 0.5000 0.3743
Ce 0.0000 0.5000 0.6257
Ce 0.0000 0.5000 0.8778
Ce 0.5000 0.0000 0.1222
Ce 0.5000 0.0000 0.3743
Ce 0.5000 0.0000 0.6257
Ce 0.5000 0.0000 0.8778
Sn 0.5000 0.5000 0.0000
Pb 0.5000 0.5000 0.2485
Pb 0.5000 0.5000 0.5000
Pb 0.5000 0.5000 0.7515
```

---

Record 2
First-principles (PBE) data for a geometry-optimized CuHg2GeSe4 structure, as listed in the Alexandria database. Values from VASP.

Calculated values
E_tot in eV per cell: -49.217
D(E_F) in states/eV/f.u.: 3.0
Uncorrected formation energy in eV per atom: -0.169
SG: No. 31

Quantum ESPRESSO input file:
```
&SYSTEM
  ibrav = 0, nat = 16, ntyp = 4
/
ATOMIC_SPECIES
Cu 63.55 Cu.upf
Hg 200.59 Hg.upf
Ge 72.64 Ge.upf
Se 78.96 Se.upf
CELL_PARAMETERS angstrom
8.6372 0.0000 0.0000
0.0000 7.3562 0.0000
0.0000 0.0000 6.9055
ATOMIC_POSITIONS crystal
Cu 0.0000 0.1561 0.0000
Cu 0.5000 0.8439 0.5000
Hg 0.2483 0.3300 0.4997
Hg 0.2517 0.6700 0.9997
Hg 0.7483 0.6700 0.9997
Hg 0.7517 0.3300 0.4997
Ge 0.0000 0.8211 0.4917
Ge 0.5000 0.1789 0.9917
Se 0.0000 0.1429 0.3552
Se 0.0000 0.8535 0.8619
Se 0.2291 0.3153 0.8939
Se 0.2709 0.6847 0.3939
Se 0.5000 0.1465 0.3619
Se 0.5000 0.8571 0.8552
Se 0.7291 0.6847 0.3939
Se 0.7709 0.3153 0.8939
```